Material: Ac2TlVO5
Method: DFT, PBE+U
State: optimized geometry

The structure in POSCAR format:
```
Ac2TlVO5
1.0
-2.102 3.228 5.693
2.102 -3.228 5.693
2.102 3.228 -5.693
Ac Tl V O
2 1 1 5
Direct
0.215 0.215 0.000 Ac
0.785 0.785 0.000 Ac
0.500 0.000 0.500 Tl
0.000 0.500 0.500 V
0.000 0.000 0.000 O
0.072 0.361 0.711 O
0.350 0.639 0.711 O
0.650 0.361 0.289 O
0.928 0.639 0.289 O
```

- crystal system = orthorhombic
- magnetization (μB/f.u.) = 2.0
- theoretical density (g cm⁻³) = 8.48
- total energy (eV per atom) = -7.23